# 1
Density functional theory data (GGA-PBE) for an optimized crystal structure of Ag2Te8Pd3.

The structure in POSCAR format:
```
Ag2Te8Pd3
1.0
5.863 -4.070 0.000
5.863 4.070 0.000
-1.449 0.000 7.448
Ag Te Pd
2 8 3
Direct
0.190 0.190 0.072
0.810 0.810 0.928
0.129 0.129 0.414
0.154 0.610 0.151
0.378 0.378 0.632
0.390 0.846 0.849
0.610 0.154 0.151
0.622 0.622 0.368
0.846 0.390 0.849
0.871 0.871 0.586
0.257 0.743 0.500
0.500 0.500 0.000
0.743 0.257 0.500
```

Energy relative to the elements, uncorrected (eV/atom): -0.189
Magnetic moment (μB per formula unit): 0.00
SG: C2/m

# 2
Density functional theory data (GGA-PBE) for an optimized crystal structure of AgTePd.

The structure in POSCAR format:
```
AgTePd
1.0
4.612 0.000 0.000
-2.306 3.994 0.000
0.000 0.000 3.395
Ag Te Pd
1 1 1
Direct
0.000 0.000 0.000
0.667 0.333 0.500
0.333 0.667 0.500
```

Energy relative to the elements, uncorrected (eV/atom): -0.019
Magnetic moment (μB per formula unit): 0.00
SG: P-6m2

# 3
Density functional theory data (GGA-PBE) for an optimized crystal structure of AgTePd.

The structure in POSCAR format:
```
AgTePd
1.0
3.127 -3.127 0.000
3.127 3.127 0.000
-0.009 0.000 6.444
Ag Te Pd
2 2 2
Direct
0.249 0.249 0.206
0.751 0.751 0.794
0.250 0.250 0.765
0.750 0.750 0.235
0.250 0.750 0.500
0.750 0.250 0.500
```

Energy relative to the elements, uncorrected (eV/atom): -0.179
Magnetic moment (μB per formula unit): 0.00
SG: C2/m

# 4
Density functional theory data (GGA-PBE) for an optimized crystal structure of Ag2TePd5.

The structure in POSCAR format:
```
Ag2TePd5
1.0
2.948 -4.807 0.000
2.948 4.807 0.000
-2.938 0.000 4.808
Ag Te Pd
2 1 5
Direct
0.249 0.751 0.000
0.751 0.249 0.000
0.728 0.728 0.493
0.221 0.221 0.944
0.224 0.770 0.500
0.293 0.293 0.489
0.764 0.764 0.037
0.770 0.224 0.500
```

Energy relative to the elements, uncorrected (eV/atom): -0.124
Magnetic moment (μB per formula unit): 0.00
SG: Cm

# 5
Density functional theory data (GGA-PBE) for an optimized crystal structure of AgTe2Pd2.

The structure in POSCAR format:
```
AgTe2Pd2
1.0
-2.623 2.623 4.212
2.623 -2.623 4.212
2.623 2.623 -4.212
Ag Te Pd
1 2 2
Direct
0.000 0.000 0.000
0.250 0.750 0.500
0.750 0.250 0.500
0.336 0.336 0.000
0.664 0.664 0.000
```

Energy relative to the elements, uncorrected (eV/atom): -0.016
Magnetic moment (μB per formula unit): 0.00
SG: I4/mmm

# 6
Density functional theory data (GGA-PBE) for an optimized crystal structure of AgTePd3.

The structure in POSCAR format:
```
AgTePd3
1.0
4.938 0.000 0.000
0.000 4.938 0.000
0.000 0.000 4.938
Ag Te Pd
1 1 3
Direct
0.000 0.000 0.000
0.500 0.500 0.500
0.000 0.500 0.500
0.500 0.000 0.500
0.500 0.500 0.000
```

Energy relative to the elements, uncorrected (eV/atom): 0.344
Magnetic moment (μB per formula unit): 0.00
SG: Pm-3m

# 7
Density functional theory data (GGA-PBE) for an optimized crystal structure of AgTePd4.

The structure in POSCAR format:
```
AgTePd4
1.0
4.997 0.000 0.000
0.000 4.714 0.000
-0.625 0.000 8.871
Ag Te Pd
2 2 8
Direct
0.071 0.250 0.417
0.929 0.750 0.583
0.357 0.750 0.133
0.643 0.250 0.867
0.034 0.250 0.091
0.119 0.250 0.750
0.409 0.750 0.427
0.452 0.750 0.745
0.548 0.250 0.255
0.591 0.250 0.573
0.881 0.750 0.250
0.966 0.750 0.909
```

Energy relative to the elements, uncorrected (eV/atom): -0.188
Magnetic moment (μB per formula unit): 0.00
SG: P2_1/m

# 8
Density functional theory data (GGA-PBE) for an optimized crystal structure of AgTe2Pd2.

The structure in POSCAR format:
```
AgTe2Pd2
1.0
-1.996 1.996 7.135
1.996 -1.996 7.135
1.996 1.996 -7.135
Ag Te Pd
1 2 2
Direct
0.000 0.000 0.000
0.380 0.380 0.000
0.620 0.620 0.000
0.250 0.750 0.500
0.750 0.250 0.500
```

Energy relative to the elements, uncorrected (eV/atom): -0.041
Magnetic moment (μB per formula unit): 0.00
SG: I4/mmm

# 9
Density functional theory data (GGA-PBE) for an optimized crystal structure of Ag3Te8Pd3.

The structure in POSCAR format:
```
Ag3Te8Pd3
1.0
4.116 2.376 6.699
-4.116 2.376 6.699
0.000 -4.752 6.699
Ag Te Pd
3 8 3
Direct
0.000 0.000 0.000
0.376 0.376 0.376
0.624 0.624 0.624
0.211 0.756 0.756
0.236 0.236 0.236
0.244 0.244 0.789
0.244 0.789 0.244
0.756 0.211 0.756
0.756 0.756 0.211
0.764 0.764 0.764
0.789 0.244 0.244
0.000 0.000 0.500
0.000 0.500 0.000
0.500 0.000 0.000
```

Energy relative to the elements, uncorrected (eV/atom): -0.147
Magnetic moment (μB per formula unit): 0.00
SG: R-3m

# 10
Density functional theory data (GGA-PBE) for an optimized crystal structure of AgTePd3.

The structure in POSCAR format:
```
AgTePd3
1.0
4.954 0.000 0.000
0.000 4.797 0.000
-2.100 0.000 7.365
Ag Te Pd
2 2 6
Direct
0.086 0.250 0.297
0.914 0.750 0.703
0.333 0.250 0.728
0.667 0.750 0.272
0.103 0.750 0.103
0.330 0.750 0.503
0.493 0.250 0.106
0.507 0.750 0.894
0.670 0.250 0.497
0.897 0.250 0.897
```

Energy relative to the elements, uncorrected (eV/atom): -0.197
Magnetic moment (μB per formula unit): 0.00
SG: P2_1/m

# 11
Density functional theory data (GGA-PBE) for an optimized crystal structure of Ag4Te2Pd3.

The structure in POSCAR format:
```
Ag4Te2Pd3
1.0
3.091 0.000 0.000
-1.545 2.677 0.000
0.000 0.000 21.368
Ag Te Pd
4 2 3
Direct
0.000 0.000 0.000
0.000 0.000 0.206
0.333 0.667 0.314
0.333 0.667 0.520
0.000 0.000 0.649
0.000 0.000 0.863
0.000 0.000 0.417
0.333 0.667 0.102
0.333 0.667 0.756
```

Energy relative to the elements, uncorrected (eV/atom): 0.137
Magnetic moment (μB per formula unit): 0.00
SG: P3m1

# 12
Density functional theory data (GGA-PBE) for an optimized crystal structure of AgTe2Pd2.

The structure in POSCAR format:
```
AgTe2Pd2
1.0
7.409 0.000 0.000
0.000 7.409 0.000
0.000 0.000 3.783
Ag Te Pd
2 4 4
Direct
0.000 0.000 0.000
0.500 0.500 0.000
0.168 0.332 0.500
0.332 0.832 0.500
0.668 0.168 0.500
0.832 0.668 0.500
0.136 0.636 0.000
0.364 0.136 0.000
0.636 0.864 0.000
0.864 0.364 0.000
```

Energy relative to the elements, uncorrected (eV/atom): -0.128
Magnetic moment (μB per formula unit): 0.00
SG: P4/mbm

# 13
Density functional theory data (GGA-PBE) for an optimized crystal structure of Ag2TePd6.

The structure in POSCAR format:
```
Ag2TePd6
1.0
7.834 0.000 0.000
-3.917 6.784 0.000
0.000 0.000 2.892
Ag Te Pd
2 1 6
Direct
0.333 0.667 0.000
0.667 0.333 0.000
0.000 0.000 0.500
0.000 0.336 0.695
0.000 0.664 0.305
0.336 0.000 0.695
0.336 0.336 0.305
0.664 0.000 0.305
0.664 0.664 0.695
```

Energy relative to the elements, uncorrected (eV/atom): -0.017
Magnetic moment (μB per formula unit): 0.00
SG: P-31m

# 14
Density functional theory data (GGA-PBE) for an optimized crystal structure of Ag3Te4Pd8.

The structure in POSCAR format:
```
Ag3Te4Pd8
1.0
0.000 6.545 6.545
6.545 0.000 6.545
6.545 6.545 0.000
Ag Te Pd
6 8 16
Direct
0.222 0.222 0.778
0.222 0.778 0.222
0.222 0.778 0.778
0.778 0.222 0.222
0.778 0.222 0.778
0.778 0.778 0.222
0.000 0.000 0.000
0.000 0.000 0.500
0.000 0.500 0.000
0.000 0.500 0.500
0.500 0.000 0.000
0.500 0.000 0.500
0.500 0.500 0.000
0.500 0.500 0.500
0.144 0.619 0.619
0.164 0.164 0.164
0.164 0.164 0.507
0.164 0.507 0.164
0.381 0.381 0.381
0.381 0.381 0.856
0.381 0.856 0.381
0.493 0.836 0.836
0.507 0.164 0.164
0.619 0.144 0.619
0.619 0.619 0.144
0.619 0.619 0.619
0.836 0.493 0.836
0.836 0.836 0.493
0.836 0.836 0.836
0.856 0.381 0.381
```

Energy relative to the elements, uncorrected (eV/atom): -0.197
Magnetic moment (μB per formula unit): 0.00
SG: Fm-3m

# 15
Density functional theory data (GGA-PBE) for an optimized crystal structure of AgTe2Pd2.

The structure in POSCAR format:
```
AgTe2Pd2
1.0
7.709 0.000 0.000
0.000 7.709 0.000
0.000 0.000 3.615
Ag Te Pd
2 4 4
Direct
0.000 0.000 0.000
0.500 0.500 0.000
0.170 0.330 0.000
0.330 0.830 0.000
0.670 0.170 0.000
0.830 0.670 0.000
0.132 0.632 0.500
0.368 0.132 0.500
0.632 0.868 0.500
0.868 0.368 0.500
```

Energy relative to the elements, uncorrected (eV/atom): -0.050
Magnetic moment (μB per formula unit): 0.00
SG: P4/mbm

# 16
Density functional theory data (GGA-PBE) for an optimized crystal structure of AgTe5Pd3.

The structure in POSCAR format:
```
AgTe5Pd3
1.0
5.187 -4.367 0.000
5.187 4.367 0.000
-3.366 0.000 10.427
Ag Te Pd
2 10 6
Direct
0.070 0.070 0.269
0.930 0.930 0.731
0.053 0.662 0.322
0.267 0.267 0.073
0.303 0.697 0.000
0.338 0.947 0.678
0.371 0.371 0.587
0.629 0.629 0.413
0.662 0.053 0.322
0.697 0.303 0.000
0.733 0.733 0.927
0.947 0.338 0.678
0.000 0.000 0.000
0.000 0.000 0.500
0.327 0.327 0.834
0.352 0.352 0.334
0.648 0.648 0.666
0.673 0.673 0.166
```

Energy relative to the elements, uncorrected (eV/atom): -0.106
Magnetic moment (μB per formula unit): 0.00
SG: C2/m

# 17
Density functional theory data (GGA-PBE) for an optimized crystal structure of Ag2TePd6.

The structure in POSCAR format:
```
Ag2TePd6
1.0
-1.460 3.795 7.052
1.460 -3.795 7.052
1.460 3.795 -7.052
Ag Te Pd
2 1 6
Direct
0.147 0.147 0.000
0.853 0.853 0.000
0.500 0.000 0.500
0.147 0.323 0.824
0.182 0.500 0.682
0.500 0.323 0.176
0.500 0.677 0.824
0.818 0.500 0.318
0.853 0.677 0.176
```

Energy relative to the elements, uncorrected (eV/atom): 0.055
Magnetic moment (μB per formula unit): 0.00
SG: Immm

# 18
Density functional theory data (GGA-PBE) for an optimized crystal structure of AgTe2Pd.

The structure in POSCAR format:
```
AgTe2Pd
1.0
-3.022 3.022 6.524
3.022 -3.022 6.524
3.022 3.022 -6.524
Ag Te Pd
2 4 2
Direct
0.000 0.000 0.000
0.750 0.250 0.500
0.151 0.625 0.026
0.375 0.401 0.526
0.599 0.125 0.974
0.875 0.849 0.474
0.250 0.750 0.500
0.500 0.500 0.000
```

Energy relative to the elements, uncorrected (eV/atom): -0.046
Magnetic moment (μB per formula unit): 0.00
SG: I-42d

# 19
Density functional theory data (GGA-PBE) for an optimized crystal structure of AgTePd4.

The structure in POSCAR format:
```
AgTePd4
1.0
5.391 -2.825 0.000
5.391 2.825 0.000
-4.356 0.000 6.867
Ag Te Pd
2 2 8
Direct
0.000 0.000 0.000
0.249 0.249 0.999
0.513 0.513 0.010
0.692 0.692 0.624
0.233 0.233 0.651
0.242 0.752 0.312
0.247 0.750 0.680
0.274 0.274 0.351
0.749 0.749 0.999
0.750 0.247 0.680
0.752 0.242 0.312
0.774 0.774 0.360
```

Energy relative to the elements, uncorrected (eV/atom): -0.088
Magnetic moment (μB per formula unit): 0.00
SG: Cm

# 20
Density functional theory data (GGA-PBE) for an optimized crystal structure of AgTePd.

The structure in POSCAR format:
```
AgTePd
1.0
0.000 3.210 3.210
3.210 0.000 3.210
3.210 3.210 0.000
Ag Te Pd
1 1 1
Direct
0.000 0.000 0.000
0.500 0.500 0.500
0.250 0.250 0.250
```

Energy relative to the elements, uncorrected (eV/atom): -0.165
Magnetic moment (μB per formula unit): 0.00
SG: F-43m